No. 1
CuNiAg2H (GGA-PBE, relaxed); M_tot = 0.0 μB per formula unit; total energy = -3.45 eV/atom
1.0
4.2889 0.0000 0.0000
0.0000 3.3861 0.0000
0.0000 0.0000 4.2889
Ag Cu H Ni
2 1 1 1
Cartesian
0.0000 0.0000 2.1444
2.1444 0.0000 0.0000
0.0000 1.6931 0.0000
0.0000 0.0000 0.0000
2.1444 1.6931 2.1444

=====

No. 2
CuNi2AgH (GGA-PBE, relaxed); E above lowest polymorph = 0.25 eV per formula unit; M_tot = 0.0 μB per formula unit; total energy = -4.21 eV/atom
1.0
-1.6429 -1.6995 -2.7812
0.8685 -3.5791 1.6741
-3.1637 0.0828 1.8183
Ni Cu H Ag
2 1 1 1
Cartesian
-0.8215 -0.8497 -1.3906
-1.5819 0.0414 0.9092
-1.9691 -2.5979 0.3556
0.0000 0.0000 0.0000
0.4342 -1.7896 0.8370

=====

No. 3
Cu2AgHS2O10 (GGA-PBE, relaxed); M_tot = 0.0 μB per formula unit; total energy = -5.38 eV/atom
1.0
5.2870 -0.0179 0.0760
1.7765 4.9796 0.0760
3.3706 2.3677 7.4617
O Ag Cu S H
10 1 2 2 1
Cartesian
4.8722 1.8998 2.0485
7.7950 5.4757 4.1664
4.6073 3.2364 5.0064
2.6391 1.8538 3.4474
5.5619 5.4297 5.5653
3.4397 3.9390 2.0485
5.3281 3.7428 7.2744
5.8268 4.0931 2.6074
6.9944 3.3905 5.5653
5.1059 3.5867 0.3394
0.0000 0.0000 0.0000
4.3288 1.1749 3.7689
2.5735 3.6737 3.7689
4.8404 3.4002 1.7681
5.5937 3.9293 5.8456
1.6853 1.1839 3.7309

=====

No. 4
Cu2AgHSe2O10 (GGA-PBE, relaxed); M_tot = 0.0 μB per formula unit; total energy = -4.91 eV/atom
1.0
5.3681 -0.0187 -0.0129
1.8283 5.0472 -0.0129
3.2642 2.2809 7.3732
Se O Cu Ag H
2 10 2 1 1
Cartesian
5.6247 3.9302 5.7726
4.8359 3.3791 1.5749
2.5961 1.8140 3.3600
8.4386 5.8964 7.3515
7.2047 3.3236 5.4479
4.5254 3.1621 4.7973
5.9352 4.1472 2.5502
2.0220 1.4129 -0.0041
5.5983 5.6225 5.4479
7.8645 5.4953 3.9875
4.8623 1.6868 1.8996
3.2559 3.9858 1.8996
2.5463 3.6640 3.6802
4.3162 1.1311 3.6802
0.0000 0.0000 0.0000
1.6321 1.1404 3.6866

=====

No. 5
CuAgHPb2 (GGA-PBE, relaxed); M_tot = 0.0 μB per formula unit; total energy = -3.28 eV/atom
1.0
5.5940 0.0000 0.0000
0.0000 5.5940 0.0000
0.0000 0.0000 3.2468
Ag Cu H Pb
1 1 1 2
Cartesian
2.7970 2.7970 1.6234
0.0000 0.0000 0.0000
0.0000 0.0000 1.6234
2.7970 0.0000 0.0000
0.0000 2.7970 0.0000

=====

No. 6
CuAgHPd (GGA-PBE, relaxed); M_tot = 0.0 μB per formula unit; total energy = -3.90 eV/atom
1.0
2.8273 -0.0136 0.0022
-0.0139 2.8273 0.0037
-1.3859 -1.3892 6.0287
Ag Cu Pd H
1 1 1 1
Cartesian
0.0574 1.3304 0.9282
0.0749 1.3487 5.0917
1.4907 -0.0788 3.2011
0.0701 1.3393 3.2326

=====

No. 7
Cu2AgHPd (GGA-PBE, relaxed); E above lowest polymorph = 0.00 eV per formula unit; M_tot = 0.0 μB per formula unit; total energy = -3.93 eV/atom
1.0
4.0064 0.0000 0.0000
0.0000 4.0064 0.0000
0.0000 0.0000 3.7351
Cu Ag Pd H
2 1 1 1
Cartesian
0.0000 2.0032 0.0000
2.0032 0.0000 0.0000
2.0032 2.0032 1.8675
0.0000 0.0000 1.8675
0.0000 0.0000 0.0000

=====

No. 8
Cu2AgHPd (GGA-PBE, relaxed); E above lowest polymorph = 0.67 eV per formula unit; M_tot = 0.0 μB per formula unit; total energy = -3.79 eV/atom
1.0
-3.7689 0.5607 0.8560
0.8042 -0.3974 3.8010
0.6394 3.8844 0.2708
Pd H Cu Ag
1 1 2 1
Cartesian
-1.1627 2.0238 2.4639
0.0000 0.0000 0.0000
0.4021 -0.1987 1.9005
-1.8845 0.2803 0.4280
0.3197 1.9422 0.1354

=====

No. 9
CuAgHPt2 (GGA-PBE, relaxed); E above lowest polymorph = 0.00 eV per formula unit; M_tot = 0.0 μB per formula unit; total energy = -4.47 eV/atom
1.0
3.9568 0.0000 0.0000
0.0000 3.9568 0.0000
0.0000 0.0000 4.1169
Pt H Ag Cu
2 1 1 1
Cartesian
1.9784 0.0000 0.0000
0.0000 1.9784 0.0000
0.0000 0.0000 0.0000
1.9784 1.9784 2.0585
0.0000 0.0000 2.0585

=====

No. 10
Cu2AgHPt (GGA-PBE, relaxed); E above lowest polymorph = 0.76 eV per formula unit; M_tot = 0.0 μB per formula unit; total energy = -3.95 eV/atom
1.0
-3.7901 0.1330 1.0715
-0.0853 -3.9356 0.1867
1.0582 0.1537 3.7239
Cu Ag H Pt
2 1 1 1
Cartesian
-1.8951 0.0665 0.5357
-0.0427 -1.9678 0.0934
0.5291 0.0769 1.8619
0.0000 0.0000 0.0000
-1.4086 -1.8244 2.4911

=====

No. 11
CuAgHPt (GGA-PBE, relaxed); M_tot = 0.0 μB per formula unit; total energy = -4.06 eV/atom
1.0
2.8945 0.0000 0.0000
0.0000 3.9148 0.0000
-1.4473 -1.9574 4.3730
Pt H Cu Ag
1 1 1 1
Cartesian
1.4473 1.9574 0.9049
0.0000 1.9574 1.9220
0.0000 0.0000 2.3324
1.4473 1.9574 3.8045

=====

No. 12
CuAgHPt2 (GGA-PBE, relaxed); E above lowest polymorph = 0.19 eV per formula unit; M_tot = 0.0 μB per formula unit; total energy = -4.43 eV/atom
1.0
-3.6940 1.0778 0.7819
-1.2286 -1.8703 -3.2266
-0.5524 -3.5304 2.2568
Ag Pt Cu H
1 2 1 1
Cartesian
-0.2762 -1.7652 1.1284
-0.6143 -0.9352 -1.6133
-1.8470 0.5389 0.3909
-2.7375 -2.1615 -0.0940
0.0000 0.0000 0.0000

=====

No. 13
Cu2AgHPt (GGA-PBE, relaxed); E above lowest polymorph = 0.00 eV per formula unit; M_tot = 0.0 μB per formula unit; total energy = -4.10 eV/atom
1.0
-1.3822 -0.5043 3.7557
3.1418 -2.3876 0.8357
1.9491 2.9548 1.1141
H Cu Pt Ag
1 2 1 1
Cartesian
0.0000 0.0000 0.0000
-0.6911 -0.2521 1.8778
1.5709 -1.1938 0.4178
0.9746 1.4774 0.5570
1.8544 0.0314 2.8527

=====

No. 14
Rb2CuAgH4 (GGA-PBE, relaxed); M_tot = 0.0 μB per formula unit; total energy = -2.89 eV/atom
1.0
5.0266 0.0000 0.0000
2.5133 5.8994 0.0000
2.5133 0.0000 10.6828
Ag Rb H Cu
2 4 8 2
Cartesian
0.0000 0.0000 0.0000
6.2833 2.9497 5.3414
6.2833 2.9497 9.0514
2.5133 0.0000 6.9728
5.0266 0.0000 3.7100
6.2833 2.9497 1.6314
8.6211 4.9348 9.7723
4.8511 1.9851 6.2519
3.5944 0.9646 0.9105
3.9455 0.9646 9.7723
2.6888 1.9851 4.4309
4.8511 3.9143 4.4309
7.7155 3.9143 6.2519
3.9455 4.9348 0.9105
3.7700 2.9497 5.3414
2.5133 0.0000 0.0000

=====

No. 15
CuAg2HS (GGA-PBE, relaxed); M_tot = 0.0 μB per formula unit; total energy = -2.89 eV/atom
1.0
4.9087 0.0000 0.0000
0.0000 4.2463 0.0000
0.0000 0.0000 4.9087
Ag S Cu H
2 1 1 1
Cartesian
0.0000 0.0000 2.4544
2.4544 0.0000 0.0000
0.0000 0.0000 0.0000
0.0000 2.1232 0.0000
2.4544 2.1232 2.4544

=====

No. 16
Sr2CuAgH (GGA-PBE, relaxed); E above lowest polymorph = 0.00 eV per formula unit; M_tot = 0.0 μB per formula unit; total energy = -2.91 eV/atom
1.0
-2.7453 -0.2613 -4.6493
-4.5290 -1.1052 2.7363
-0.7730 3.7730 0.2444
Sr Cu H Ag
2 1 1 1
Cartesian
-2.2645 -0.5526 1.3682
-1.3726 -0.1306 -2.3247
-0.3865 1.8865 0.1222
0.0000 0.0000 0.0000
-4.0237 1.2033 -0.8343

=====

No. 17
Sr2CuAgH (GGA-PBE, relaxed); E above lowest polymorph = 0.27 eV per formula unit; M_tot = 0.0 μB per formula unit; total energy = -2.85 eV/atom
1.0
-2.6566 -4.5004 -1.1738
3.4767 -1.0238 -3.9437
2.3168 -2.0384 2.5716
Ag H Sr Cu
1 1 2 1
Cartesian
1.1584 -1.0192 1.2858
0.0000 0.0000 0.0000
1.7384 -0.5119 -1.9719
-1.3283 -2.2502 -0.5869
1.5685 -3.7812 -1.2729

=====

No. 18
CuTcAg2H (GGA-PBE, relaxed); M_tot = 0.0 μB per formula unit; total energy = -4.19 eV/atom
1.0
4.1783 0.0000 0.0000
0.0000 3.8101 0.0000
0.0000 0.0000 4.1783
H Tc Ag Cu
1 1 2 1
Cartesian
0.0000 0.0000 0.0000
0.0000 1.9050 0.0000
2.0891 0.0000 0.0000
0.0000 0.0000 2.0891
2.0891 1.9050 2.0891

=====

No. 19
TlCuAgH2 (GGA-PBE, relaxed); M_tot = 0.0 μB per formula unit; total energy = -2.61 eV/atom
1.0
3.7916 0.0000 0.0000
0.0000 5.8202 0.0000
0.0000 0.0000 3.7916
Ag H Tl Cu
1 2 1 1
Cartesian
1.8958 2.9101 1.8958
1.8958 0.0000 0.0000
0.0000 0.0000 1.8958
0.0000 2.9101 0.0000
0.0000 0.0000 0.0000

=====

No. 20
ZnCu2AgH (GGA-PBE, relaxed); E above lowest polymorph = 0.00 eV per formula unit; M_tot = 0.0 μB per formula unit; total energy = -3.02 eV/atom
1.0
-1.9516 2.5081 2.0031
-2.1672 -2.7589 1.3430
2.6290 -0.5084 3.1980
H Ag Cu Zn
1 1 2 1
Cartesian
0.0000 0.0000 0.0000
-0.7449 -0.3796 3.2720
-0.9758 1.2541 1.0016
-1.0836 -1.3795 0.6715
1.3145 -0.2542 1.5990

=====

No. 21
ZnCu2AgH (GGA-PBE, relaxed); E above lowest polymorph = 0.16 eV per formula unit; M_tot = 0.0 μB per formula unit; total energy = -2.99 eV/atom
1.0
-0.6568 -0.9505 -3.6011
1.4185 -3.4450 0.6506
-3.7837 -1.3598 1.0491
Ag H Cu Zn
1 1 2 1
Cartesian
-1.8918 -0.6799 0.5245
0.0000 0.0000 0.0000
0.7092 -1.7225 0.3253
-0.3284 -0.4753 -1.8006
-1.5110 -2.8777 -0.9507

=====

No. 22
Zr2CuAgH (GGA-PBE, relaxed); E above lowest polymorph = 0.22 eV per formula unit; M_tot = 0.0 μB per formula unit; total energy = -5.55 eV/atom
1.0
4.2955 0.0000 0.0000
0.0000 4.2955 0.0000
0.0000 0.0000 4.2230
Zr Cu H Ag
2 1 1 1
Cartesian
0.0000 2.1477 0.0000
2.1477 0.0000 0.0000
2.1477 2.1477 2.1115
0.0000 0.0000 0.0000
0.0000 0.0000 2.1115

=====

No. 23
ZrCuAg2H (GGA-PBE, relaxed); M_tot = 0.0 μB per formula unit; total energy = -4.18 eV/atom
1.0
-1.7036 -3.2567 -2.3268
3.6653 -1.6472 -0.3780
-0.6445 -2.2725 3.6527
Ag H Zr Cu
2 1 1 1
Cartesian
-0.8518 -1.6284 -1.1634
-0.3223 -1.1363 1.8264
0.0000 0.0000 0.0000
1.8327 -0.8236 -0.1890
0.6586 -3.5882 0.4740

=====

No. 24
Zr2CuAgH (GGA-PBE, relaxed); E above lowest polymorph = 0.00 eV per formula unit; M_tot = 0.0 μB per formula unit; total energy = -5.59 eV/atom
1.0
-3.8760 -1.7141 -1.1185
1.6236 -4.0334 0.5548
-1.1439 0.0700 3.8564
Zr Cu Ag H
2 1 1 1
Cartesian
0.8118 -2.0167 0.2774
-1.9380 -0.8570 -0.5593
-0.5719 0.0350 1.9282
-1.6981 -2.8387 1.6464
0.0000 0.0000 0.0000

=====

No. 25
Hf2Cu2Ag (GGA-PBE, relaxed); E above lowest polymorph = 1.38 eV per formula unit; M_tot = 0.0 μB per formula unit; total energy = -6.01 eV/atom; energy of formation from the pure elements = 179 meV/atom
1.0
7.9231 0.0000 0.0000
0.0000 7.9231 0.0000
0.0000 0.0000 2.8569
Cu Hf Ag
4 4 2
Cartesian
2.9785 0.9830 1.4284
0.9830 4.9445 1.4284
6.9401 2.9785 1.4284
4.9445 6.9401 1.4284
1.3357 2.6258 0.0000
2.6258 6.5874 0.0000
5.2972 1.3357 0.0000
6.5874 5.2972 0.0000
3.9615 3.9615 0.0000
0.0000 0.0000 0.0000

=====

No. 26
HfCuAg (GGA-PBE, relaxed); E above lowest polymorph = 0.81 eV per formula unit; M_tot = 0.0 μB per formula unit; total energy = -5.40 eV/atom; energy of formation from the pure elements = 239 meV/atom
1.0
2.7715 0.0000 0.0000
0.0000 4.7624 0.0000
-1.3858 0.0000 8.1352
Cu Hf Ag
2 2 2
Cartesian
1.3858 3.5718 4.9821
0.0000 1.1906 3.1531
0.0000 1.1906 5.7654
1.3857 3.5718 2.3698
0.0000 3.5718 7.4430
1.3858 1.1906 0.6922

=====

No. 27
HfCuAg (GGA-PBE, relaxed); E above lowest polymorph = 0.01 eV per formula unit; M_tot = 0.0 μB per formula unit; total energy = -5.66 eV/atom; energy of formation from the pure elements = -27 meV/atom
1.0
-2.7454 -0.8823 0.1105
1.1985 -3.3836 2.7596
-1.2178 4.0052 1.7253
Hf Cu Ag
1 1 1
Cartesian
-2.2423 0.9541 2.1437
-0.0641 -1.0676 2.4332
-0.4583 -0.1473 0.0184